## Li2CdWO (PBE+U)

Data for a geometry-optimized Li2CdWO structure.

a = 5.284 Å, b = 5.284 Å, c = 4.016 Å
α = 90.00°, β = 90.00°, γ = 90.00°
Positions (direct):
Li  0.000  0.500  0.000
Li  0.500  0.000  0.000
Cd  0.000  0.000  0.000
W  0.500  0.500  0.500
O  0.000  0.000  0.500

Properties
Final energy   -2.442 eV per atom